# 1
CdTe2Rh after structural relaxation, computed with PBE-GGA.

Cell: 3.989 5.640 5.428 Å, 61.44 90.00 90.00°
Element x y z (fractional)
Cd 0.500 0.500 0.500
Te 0.000 0.154 0.173
Te 0.000 0.846 0.827
Rh 0.500 0.500 0.000

Space-group type = P2/m (10)
E_form (uncorrected) = -0.9 eV per formula unit
Magnetic moment = 0.00 μB/f.u.

***

# 2
Al2SbIr2 after structural relaxation, computed with PBE-GGA.

Cell: 7.484 7.484 2.915 Å, 90.00 90.00 90.00°
Element x y z (fractional)
Ir 0.345 0.845 0.000
Ir 0.655 0.155 0.000
Ir 0.155 0.345 0.000
Ir 0.845 0.655 0.000
Sb 0.000 0.000 0.000
Sb 0.500 0.500 0.000
Al 0.363 0.137 0.500
Al 0.637 0.863 0.500
Al 0.863 0.363 0.500
Al 0.137 0.637 0.500

Space-group type = P4/mbm (127)
E_form (uncorrected) = -2.6 eV per formula unit
Magnetic moment = 0.00 μB/f.u.